# 1
A relaxed structure of PrNd7Er12. Source: the Alexandria database, functional PBE-GGA.

Results
Fermi-level density of states (states/eV/f.u.): 29.9
Energy of formation (eV/atom): 0.638
Final energy (eV/f.u.): -80.1

a = 9.766 Å, b = 9.766 Å, c = 9.766 Å
α = 109.47°, β = 109.47°, γ = 109.47°
Element x y z (fractional)
Er1 0.502 0.251 0.251
Er2 0.000 0.749 0.251
Er3 0.251 0.000 0.749
Er4 0.251 0.251 0.502
Er5 0.000 0.251 0.749
Er6 0.749 0.000 0.251
Er7 0.749 0.749 0.498
Er8 0.251 0.749 0.000
Er9 0.749 0.251 0.000
Er10 0.749 0.498 0.749
Er11 0.251 0.502 0.251
Er12 0.498 0.749 0.749
Nd1 0.500 0.500 0.000
Nd2 0.500 0.000 0.500
Nd3 0.000 0.000 0.500
Nd4 0.000 0.500 0.500
Nd5 0.500 0.000 0.000
Nd6 0.000 0.500 0.000
Nd7 0.500 0.500 0.500
Pr1 0.000 0.000 0.000

=====

# 2
A relaxed structure of Pr5Nd2Er. Source: the Alexandria database, functional PBE-GGA.

Results
Fermi-level density of states (states/eV/f.u.): 12.0
Energy of formation (eV/atom): 0.014
Final energy (eV/f.u.): -37.9

a = 5.205 Å, b = 7.344 Å, c = 14.741 Å
α = 90.00°, β = 90.00°, γ = 90.00°
Element x y z (fractional)
Pr1 0.500 0.252 0.877
Pr2 0.500 0.248 0.377
Pr3 0.000 0.500 0.752
Pr4 0.000 0.000 0.252
Pr5 0.500 0.752 0.623
Pr6 0.500 0.748 0.123
Pr7 0.000 0.500 0.248
Pr8 0.000 0.000 0.748
Pr9 0.000 0.500 0.500
Pr10 0.000 0.000 0.000
Er1 0.000 0.000 0.500
Er2 0.000 0.500 0.000
Nd1 0.500 0.749 0.876
Nd2 0.500 0.251 0.124
Nd3 0.500 0.249 0.624
Nd4 0.500 0.751 0.376

=====

# 3
A relaxed structure of PrNdEr2. Source: the Alexandria database, functional PBE-GGA.

Results
Fermi-level density of states (states/eV/f.u.): 6.3
Energy of formation (eV/atom): 0.022
Final energy (eV/f.u.): -18.6

a = 5.011 Å, b = 5.131 Å, c = 5.131 Å
α = 90.00°, β = 90.00°, γ = 90.00°
Element x y z (fractional)
Nd1 0.500 0.000 0.000
Pr1 0.500 0.500 0.500
Er1 0.000 0.500 0.000
Er2 0.000 0.000 0.500